First-principles (PBE+U) data for a relaxed structure of CaAcMoO5, as listed in Alexandria via LeMat-Bulk. Values from VASP.

Cell and atoms, written as Quantum ESPRESSO input:
```
&SYSTEM
  ibrav = 0, nat = 16, ntyp = 4
/
ATOMIC_SPECIES
Ca 40.08 Ca.upf
Ac 227.00 Ac.upf
Mo 95.94 Mo.upf
O 16.00 O.upf
CELL_PARAMETERS angstrom
3.606 -5.011 0.000
3.606 5.011 0.000
-2.665 0.000 8.102
ATOMIC_POSITIONS crystal
Ca 0.169 0.831 0.750
Ca 0.831 0.169 0.250
Ac 0.500 0.500 0.000
Ac 0.500 0.500 0.500
Mo 0.172 0.828 0.250
Mo 0.828 0.172 0.750
O 0.082 0.182 0.911
O 0.150 0.567 0.338
O 0.182 0.082 0.411
O 0.387 0.613 0.750
O 0.433 0.850 0.162
O 0.567 0.150 0.838
O 0.613 0.387 0.250
O 0.818 0.918 0.589
O 0.850 0.433 0.662
O 0.918 0.818 0.089
```

## Properties
Calculated volume = 18.302 A^3/atom
E_tot = -7.187 eV per atom